No. 1
# NpAgSnBi

An optimized crystal structure of NpAgSnBi (PBE, Alexandria).

Space group   F-43m
Volume   103 Å³/f.u.
Calculated formation energy   0.8 eV per formula unit
VASP energy   -5.722 eV per atom
Crystal system   cubic

The structure in extended XYZ format:
```
4
Lattice="0.0000 3.7202 3.7202 3.7202 0.0000 3.7202 3.7202 3.7202 0.0000" Properties=species:S:1:pos:R:3 pbc="T T T"
Np 0.0000 0.0000 0.0000
Ag 3.7202 3.7202 3.7202
Sn 5.5803 5.5803 5.5803
Bi 1.8601 1.8601 1.8601
```

---

No. 2
# CuRhSe2

An optimized crystal structure of CuRhSe2 (PBE, Alexandria).

Uncorrected formation energy   45.9 kJ/mol of atoms
Space group   F-43m
Volume   66 Å³/f.u.
VASP energy   -4.129 eV per atom
Crystal system   cubic

The structure in extended XYZ format:
```
4
Lattice="0.0000 3.2113 3.2113 3.2113 0.0000 3.2113 3.2113 3.2113 0.0000" Properties=species:S:1:pos:R:3 pbc="T T T"
Cu 0.0000 0.0000 0.0000
Rh 1.6056 1.6056 1.6056
Se 3.2113 3.2113 3.2113
Se 4.8169 4.8169 4.8169
```

---

No. 3
# SmTmRhAu

An optimized crystal structure of SmTmRhAu (PBE, Alexandria).

Distance to the lowest polymorph of the same formula   36 meV/atom
Space group   F-43m
Volume   88 Å³/f.u.
Calculated formation energy   -3.2 eV per formula unit
VASP energy   -5.753 eV per atom
Crystal system   cubic

The structure in extended XYZ format:
```
4
Lattice="0.0000 3.5339 3.5339 3.5339 0.0000 3.5339 3.5339 3.5339 0.0000" Properties=species:S:1:pos:R:3 pbc="T T T"
Sm 0.0000 0.0000 0.0000
Tm 3.5339 3.5339 3.5339
Rh 5.3009 5.3009 5.3009
Au 1.7670 1.7670 1.7670
```

---

No. 4
# Cs2CuBiI6

An optimized crystal structure of Cs2CuBiI6 (PBE, Alexandria).

Uncorrected formation energy   -77.4 kJ/mol of atoms
Space group   Fm-3m
Volume   429 Å³/f.u.
VASP energy   -2.701 eV per atom
Crystal system   cubic

The structure in extended XYZ format:
```
10
Lattice="0.0000 5.9854 5.9854 5.9854 0.0000 5.9854 5.9854 5.9854 0.0000" Properties=species:S:1:pos:R:3 pbc="T T T"
Cs 2.9927 2.9927 2.9927
Cs 8.9781 8.9781 8.9781
Cu 0.0000 0.0000 0.0000
Bi 5.9854 5.9854 5.9854
I 5.9854 5.9854 2.8710
I 5.9854 2.8710 5.9854
I 9.0998 5.9854 5.9854
I 2.8710 5.9854 5.9854
I 5.9854 9.0998 5.9854
I 5.9854 5.9854 9.0998
```

---

No. 5
# Tb4HoAl3

An optimized crystal structure of Tb4HoAl3 (PBE, Alexandria).

Space group   C2/m
Volume   205 Å³/f.u.
Calculated formation energy   -2.3 eV per formula unit
VASP energy   -4.583 eV per atom
Crystal system   monoclinic

The structure in extended XYZ format:
```
8
Lattice="11.1282 -1.8344 0.0000 11.1282 1.8344 0.0000 -1.1792 0.0000 5.0257" Properties=species:S:1:pos:R:3 pbc="T T T"
Tb 2.5141 0.0000 0.6129
Tb 4.2578 0.0000 3.6713
Tb 16.8195 0.0000 1.3544
Tb 18.5631 0.0000 4.4128
Ho -0.5896 0.0000 2.5129
Al 8.1149 0.0000 1.9174
Al 11.1282 0.0000 0.0000
Al 12.9624 0.0000 3.1083
```

---

No. 6
# CrMo4P

An optimized crystal structure of CrMo4P (PBE, Alexandria).

Space group   F-43m
Volume   98 Å³/f.u.
Calculated formation energy   4.0 eV per formula unit
VASP energy   -9.054 eV per atom
Crystal system   cubic

The structure in extended XYZ format:
```
6
Lattice="0.0000 3.6553 3.6553 3.6553 0.0000 3.6553 3.6553 3.6553 0.0000" Properties=species:S:1:pos:R:3 pbc="T T T"
Cr 0.0000 0.0000 0.0000
Mo 4.5658 2.7447 2.7447
Mo 2.7447 4.5658 2.7447
Mo 2.7447 2.7447 4.5658
Mo 4.5658 4.5658 4.5658
P 1.8276 1.8276 1.8276
```

---

No. 7
# Ac6ThS8

An optimized crystal structure of Ac6ThS8 (PBE, Alexandria).

Uncorrected formation energy   -191.7 kJ/mol of atoms
Space group   Fm-3m
Volume   444 Å³/f.u.
VASP energy   -6.327 eV per atom
Crystal system   cubic

The structure in extended XYZ format:
```
15
Lattice="0.0000 6.0542 6.0542 6.0542 0.0000 6.0542 6.0542 6.0542 0.0000" Properties=species:S:1:pos:R:3 pbc="T T T"
Ac 3.0271 3.0271 0.0000
Ac 3.0271 0.0000 3.0271
Ac 6.0542 3.0271 3.0271
Ac 0.0000 3.0271 3.0271
Ac 3.0271 6.0542 3.0271
Ac 3.0271 3.0271 6.0542
Th 0.0000 0.0000 0.0000
S 6.0542 6.0542 2.8886
S 6.0542 2.8886 6.0542
S 9.2199 6.0542 6.0542
S 3.0271 3.0271 3.0271
S 9.0814 9.0814 9.0814
S 2.8886 6.0542 6.0542
S 6.0542 9.2199 6.0542
S 6.0542 6.0542 9.2199
```

---

No. 8
# As2IrPd2

An optimized crystal structure of As2IrPd2 (PBE, Alexandria).

Distance to the lowest polymorph of the same formula   263 meV/atom
Space group   P4/mbm
Volume   81 Å³/f.u.
Calculated formation energy   0.7 eV per formula unit
VASP energy   -5.567 eV per atom
Crystal system   tetragonal

The structure in extended XYZ format:
```
10
Lattice="7.2156 0.0000 0.0000 0.0000 7.2156 0.0000 0.0000 0.0000 3.1087" Properties=species:S:1:pos:R:3 pbc="T T T"
As 1.2536 2.3542 0.0000
As 2.3542 5.9620 0.0000
As 4.8614 1.2536 0.0000
As 5.9620 4.8614 0.0000
Ir 0.0000 0.0000 1.5544
Ir 3.6078 3.6078 1.5544
Pd 0.9649 4.5727 1.5544
Pd 2.6429 0.9649 1.5544
Pd 4.5727 6.2507 1.5544
Pd 6.2507 2.6429 1.5544
```